Density functional theory data (PBE+U) for a relaxed structure of UMnNi2O6.

final energy	-7.358	eV/atom
density	7.06	Mg/m³

Unit cell a=5.3263 b=5.3263 c=14.5437 alpha=90.00 beta=90.00 gamma=120.00
Space group R3 (No. 146, hexagonal axes)
Symmetry-distinct sites (fractional):
1 U 0.0000 0.0000 0.0000 (multiplicity 3)
2 Mn 0.0000 0.0000 0.4927 (multiplicity 3)
3 Ni 0.0000 0.0000 0.2011 (multiplicity 3)
4 Ni 0.0000 0.0000 0.6941 (multiplicity 3)
5 O 0.0248 0.3530 0.2653 (multiplicity 9)
6 O 0.0407 0.6799 0.7616 (multiplicity 9)